Run P
Computed, not measured: a relaxed structure of BiH2Ru at the GGA-PBE level of DFT.

Results
The space group is I4mm (107). The calculation puts the density at 10.2 Mg/m³.

a b c (Å): 3.368 3.368 5.069
angles (deg): 109.44 109.44 89.97
Fractional coordinates of all 4 atoms:
Bi1 0.297 0.797 0.594
H1 0.545 0.545 0.091
H2 0.045 0.045 0.091
Ru1 0.612 0.112 0.224

***

Run Q
Computed, not measured: a relaxed structure of BiH2Ru at the GGA-PBE level of DFT.

Results
The space group is Fm-3m (225). The calculation puts the density at 10.6 Mg/m³.

a b c (Å): 4.103 4.103 4.103
angles (deg): 60.00 60.00 60.00
Each line ends with the local moment (μB).
Fractional coordinates of all 4 atoms:
Ru1 0.000 0.000 0.000  0.51
Bi1 0.500 0.500 0.500  0.00
H1 0.250 0.250 0.250  0.01
H2 0.750 0.750 0.750  0.01

***

Energy above the most stable structure, in meV/atom: run P 0; run Q 959

***

Run P
Computed, not measured: a relaxed structure of BiHRu at the GGA-PBE level of DFT.

Results
The space group is P4/nmm (129). The calculation puts the density at 9.9 Mg/m³.

a b c (Å): 3.958 3.958 6.651
angles (deg): 90.00 90.00 90.00
Fractional coordinates of all 6 atoms:
Ru1 0.000 0.000 0.500
Ru2 0.500 0.500 0.500
Bi1 0.000 0.500 0.202
Bi2 0.500 0.000 0.798
H1 0.000 0.500 0.567
H2 0.500 0.000 0.433

***

Run Q
Computed, not measured: a relaxed structure of BiHRu at the GGA-PBE level of DFT.

Results
The space group is C2/m (12). The calculation puts the density at 9.4 Mg/m³.

a b c (Å): 3.178 5.279 7.622
angles (deg): 64.32 77.97 72.48
Fractional coordinates of all 6 atoms:
Ru1 0.372 0.781 0.475
Ru2 0.628 0.219 0.525
Bi1 0.835 0.146 0.184
Bi2 0.165 0.854 0.816
H1 0.549 0.570 0.333
H2 0.451 0.430 0.667

***

Energy above the most stable structure, in meV/atom: run P 0; run Q 49

***

Run P
Computed, not measured: a relaxed structure of BiHS3 at the GGA-PBE level of DFT.

Results
The space group is Pm-3m (221). The calculation puts the density at 3.3 Mg/m³.

a b c (Å): 5.344 5.344 5.344
angles (deg): 90.00 90.00 90.00
Each line ends with the local moment (μB).
Fractional coordinates of all 5 atoms:
H1 0.500 0.500 0.500  0.36
S1 0.000 0.500 0.000  -0.53
S2 0.000 0.000 0.500  -0.48
S3 0.500 0.000 0.000  -0.54
Bi1 0.000 0.000 0.000  0.01

***

Run Q
Computed, not measured: a relaxed structure of BiHS3 at the GGA-PBE level of DFT.

Results
The space group is Pm-3m (221). The calculation puts the density at 6.3 Mg/m³.

a b c (Å): 4.327 4.327 4.327
angles (deg): 90.00 90.00 90.00
Fractional coordinates of all 5 atoms:
H1 0.000 0.000 0.000
S1 0.000 0.500 0.000
S2 0.000 0.000 0.500
S3 0.500 0.000 0.000
Bi1 0.500 0.500 0.500

***

Energy above the most stable structure, in meV/atom: run P 401; run Q 0

***

Run P
Computed, not measured: a relaxed structure of Bi2SbH at the GGA-PBE level of DFT.

Results
The space group is I-42d (122). The calculation puts the density at 7.9 Mg/m³.

a b c (Å): 6.230 6.230 7.306
angles (deg): 64.76 64.76 90.00
Fractional coordinates of all 8 atoms:
Sb1 0.000 0.000 0.000
Sb2 0.750 0.250 0.500
Bi1 0.521 0.125 0.250
Bi2 0.229 0.625 0.250
Bi3 0.375 0.479 0.750
Bi4 0.875 0.771 0.750
H1 0.500 0.500 0.000
H2 0.250 0.750 0.500

***

Run Q
Computed, not measured: a relaxed structure of Bi2SbH at the GGA-PBE level of DFT.

Results
The space group is Fm-3m (225). The calculation puts the density at 8.9 Mg/m³.

a b c (Å): 5.226 5.226 5.226
angles (deg): 60.00 60.00 60.00
Fractional coordinates of all 4 atoms:
Sb1 0.500 0.500 0.500
Bi1 0.250 0.250 0.250
Bi2 0.750 0.750 0.750
H1 0.000 0.000 0.000

***

Energy above the most stable structure, in meV/atom: run P 0; run Q 116

***

Run P
Computed, not measured: a relaxed structure of ScBiH3 at the GGA-PBE level of DFT.

Results
The space group is Pm-3m (221). The calculation puts the density at 5.7 Mg/m³.

a b c (Å): 4.205 4.205 4.205
angles (deg): 90.00 90.00 90.00
Fractional coordinates of all 5 atoms:
Sc1 0.500 0.500 0.500
H1 0.000 0.500 0.000
H2 0.000 0.000 0.500
H3 0.500 0.000 0.000
Bi1 0.000 0.000 0.000

***

Run Q
Computed, not measured: a relaxed structure of ScBiH3 at the GGA-PBE level of DFT.

Results
The space group is Pm-3m (221). The calculation puts the density at 7.1 Mg/m³.

a b c (Å): 3.924 3.924 3.924
angles (deg): 90.00 90.00 90.00
Fractional coordinates of all 5 atoms:
Sc1 0.000 0.000 0.000
H1 0.000 0.500 0.000
H2 0.000 0.000 0.500
H3 0.500 0.000 0.000
Bi1 0.500 0.500 0.500

***

Energy above the most stable structure, in meV/atom: run P 710; run Q 0

***

Run P
Computed, not measured: a relaxed structure of ScBi3H at the GGA-PBE level of DFT.

Results
The space group is Pm-3m (221). The calculation puts the density at 6.4 Mg/m³.

a b c (Å): 5.602 5.602 5.602
angles (deg): 90.00 90.00 90.00
Each line ends with the local moment (μB).
Fractional coordinates of all 5 atoms:
Sc1 0.000 0.000 0.000  0.03
H1 0.500 0.500 0.500  0.34
Bi1 0.000 0.500 0.000  0.01
Bi2 0.000 0.000 0.500  0.00
Bi3 0.500 0.000 0.000  0.01

***

Run Q
Computed, not measured: a relaxed structure of ScBi3H at the GGA-PBE level of DFT.

Results
The space group is Pm-3m (221). The calculation puts the density at 9.3 Mg/m³.

a b c (Å): 4.926 4.926 4.926
angles (deg): 90.00 90.00 90.00
Fractional coordinates of all 5 atoms:
Sc1 0.500 0.500 0.500
H1 0.000 0.000 0.000
Bi1 0.000 0.500 0.000
Bi2 0.000 0.000 0.500
Bi3 0.500 0.000 0.000

***

Energy above the most stable structure, in meV/atom: run P 450; run Q 0

***

Run P
Computed, not measured: a relaxed structure of Sc2BiH2 at the GGA-PBE level of DFT.

Results
The space group is P4/mbm (127). The calculation puts the density at 5.6 Mg/m³.

a b c (Å): 7.600 7.600 3.117
angles (deg): 90.00 90.00 90.00
Each line ends with the local moment (μB).
Fractional coordinates of all 10 atoms:
Sc1 0.370 0.870 0.000  0.46
Sc2 0.870 0.630 0.000  0.47
Sc3 0.630 0.130 0.000  0.46
Sc4 0.130 0.370 0.000  0.47
H1 0.090 0.590 0.500  -0.01
H2 0.590 0.910 0.500  -0.01
H3 0.910 0.410 0.500  -0.01
H4 0.410 0.090 0.500  -0.01
Bi1 0.000 0.000 0.000  -0.03
Bi2 0.500 0.500 0.000  -0.03

***

Run Q
Computed, not measured: a relaxed structure of Sc2BiH2 at the GGA-PBE level of DFT.

Results
The space group is Amm2 (38). The calculation puts the density at 6.1 Mg/m³.

a b c (Å): 3.868 3.790 5.877
angles (deg): 108.74 90.00 90.00
Fractional coordinates of all 5 atoms:
Sc1 0.200 0.682 0.364
Sc2 0.700 0.348 0.696
Bi1 0.200 0.972 0.945
H1 0.200 0.254 0.509
H2 0.700 0.743 0.487

***

Energy above the most stable structure, in meV/atom: run P 504; run Q 0

***

Run P
Computed, not measured: a relaxed structure of ScBiH at the GGA-PBE level of DFT.

Results
The space group is Pmmn (59). The calculation puts the density at 7.3 Mg/m³.

a b c (Å): 3.369 3.401 10.174
angles (deg): 89.98 90.00 90.00
Fractional coordinates of all 6 atoms:
Sc1 0.523 0.338 0.908
Sc2 0.023 0.838 0.139
Bi1 0.023 0.838 0.697
Bi2 0.523 0.337 0.350
H1 0.023 0.338 0.024
H2 0.523 0.838 0.022

***

Run Q
Computed, not measured: a relaxed structure of ScBiH at the GGA-PBE level of DFT.

Results
The space group is I4mm (107). The calculation puts the density at 7.5 Mg/m³.

a b c (Å): 3.183 3.183 6.004
angles (deg): 105.34 105.37 90.00
Each line ends with the local moment (μB).
Fractional coordinates of all 3 atoms:
Sc1 0.275 0.275 0.550  0.43
H1 0.730 0.730 0.460  -0.01
Bi1 0.995 0.995 0.989  0.00

***

Run R
Computed, not measured: a relaxed structure of ScBiH at the GGA-PBE level of DFT.

Results
The space group is P-6m2 (187). The calculation puts the density at 8.1 Mg/m³.

a b c (Å): 4.690 3.590 3.590
angles (deg): 120.00 90.00 90.00
Fractional coordinates of all 3 atoms:
Sc1 0.167 0.667 0.333
H1 0.167 0.000 0.000
Bi1 0.667 0.333 0.667

***

Run S
Computed, not measured: a relaxed structure of ScBiH at the GGA-PBE level of DFT.

Results
The space group is R-3m (166). The calculation puts the density at 7.2 Mg/m³.

a b c (Å): 3.439 3.439 11.679
angles (deg): 81.53 81.53 60.00
Fractional coordinates of all 6 atoms:
Sc1 0.870 0.870 0.390
Sc2 0.130 0.130 0.610
Bi1 0.390 0.390 0.830
Bi2 0.610 0.610 0.170
H1 0.811 0.811 0.568
H2 0.189 0.189 0.432

***

Energy above the most stable structure, in meV/atom: run P 0; run Q 290; run R 39; run S 29

***

Run P
Computed, not measured: a relaxed structure of ZrSc2BiH at the GGA-PBE level of DFT.

Results
The space group is P4/mmm (123). The calculation puts the density at 3.8 Mg/m³.

a b c (Å): 5.533 5.565 5.533
angles (deg): 90.00 90.00 90.00
Each line ends with the local moment (μB).
Fractional coordinates of all 5 atoms:
Sc1 0.000 0.000 0.500  0.60
Sc2 0.500 0.000 0.000  0.69
H1 0.500 0.500 0.500  -0.11
Bi1 0.000 0.000 0.000  0.02
Zr1 0.000 0.500 0.000  1.06

***

Run Q
Computed, not measured: a relaxed structure of ZrSc2BiH at the GGA-PBE level of DFT.

Results
The space group is P4/mmm (123). The calculation puts the density at 7.0 Mg/m³.

a b c (Å): 4.606 4.606 4.359
angles (deg): 90.00 90.00 90.00
Fractional coordinates of all 5 atoms:
Sc1 0.000 0.500 0.000
Sc2 0.500 0.000 0.000
H1 0.000 0.000 0.000
Bi1 0.500 0.500 0.500
Zr1 0.000 0.000 0.500

***

Energy above the most stable structure, in meV/atom: run P 1654; run Q 0

***

Run P
Computed, not measured: a relaxed structure of BiHSe2 at the GGA-PBE level of DFT.

Results
The space group is Fm-3m (225). The calculation puts the density at 7.2 Mg/m³.

a b c (Å): 4.931 4.931 4.931
angles (deg): 60.00 60.00 60.00
Each line ends with the local moment (μB).
Fractional coordinates of all 4 atoms:
H1 0.000 0.000 0.000  0.19
Bi1 0.500 0.500 0.500  0.04
Se1 0.250 0.250 0.250  -0.05
Se2 0.750 0.750 0.750  -0.05

***

Run Q
Computed, not measured: a relaxed structure of BiHSe2 at the GGA-PBE level of DFT.

Results
The space group is R-3m (166). The calculation puts the density at 5.8 Mg/m³.

a b c (Å): 7.033 7.033 7.033
angles (deg): 35.50 35.50 35.50
Fractional coordinates of all 4 atoms:
H1 0.500 0.500 0.500
Bi1 0.000 0.000 0.000
Se1 0.849 0.849 0.849
Se2 0.151 0.151 0.151

***

Energy above the most stable structure, in meV/atom: run P 0; run Q 254

***

Run P
Computed, not measured: a relaxed structure of BiHSe3 at the GGA-PBE level of DFT.

Results
The space group is Pm-3m (221). The calculation puts the density at 4.1 Mg/m³.

a b c (Å): 5.667 5.667 5.667
angles (deg): 90.00 90.00 90.00
Each line ends with the local moment (μB).
Fractional coordinates of all 5 atoms:
H1 0.500 0.500 0.500  0.38
Bi1 0.000 0.000 0.000  -0.02
Se1 0.000 0.500 0.000  0.63
Se2 0.000 0.000 0.500  0.57
Se3 0.500 0.000 0.000  0.61

***

Run Q
Computed, not measured: a relaxed structure of BiHSe3 at the GGA-PBE level of DFT.

Results
The space group is Pm-3m (221). The calculation puts the density at 7.8 Mg/m³.

a b c (Å): 4.567 4.567 4.567
angles (deg): 90.00 90.00 90.00
Fractional coordinates of all 5 atoms:
H1 0.000 0.000 0.000
Bi1 0.500 0.500 0.500
Se1 0.000 0.500 0.000
Se2 0.000 0.000 0.500
Se3 0.500 0.000 0.000

***

Energy above the most stable structure, in meV/atom: run P 405; run Q 0

***

Run P
Computed, not measured: a relaxed structure of SiBiH3 at the GGA-PBE level of DFT.

Results
The space group is Pm-3m (221). The calculation puts the density at 7.3 Mg/m³.

a b c (Å): 3.790 3.790 3.790
angles (deg): 90.00 90.00 90.00
Fractional coordinates of all 5 atoms:
H1 0.000 0.500 0.000
H2 0.000 0.000 0.500
H3 0.500 0.000 0.000
Si1 0.000 0.000 0.000
Bi1 0.500 0.500 0.500

***

Run Q
Computed, not measured: a relaxed structure of SiBiH3 at the GGA-PBE level of DFT.

Results
The space group is Pm-3m (221). The calculation puts the density at 5.6 Mg/m³.

a b c (Å): 4.148 4.148 4.148
angles (deg): 90.00 90.00 90.00
Fractional coordinates of all 5 atoms:
H1 0.000 0.500 0.000
H2 0.000 0.000 0.500
H3 0.500 0.000 0.000
Si1 0.500 0.500 0.500
Bi1 0.000 0.000 0.000

***

Energy above the most stable structure, in meV/atom: run P 0; run Q 404